[1]
DFT (PBE) results for an optimized crystal structure of ZnH3N.

Output
Relative energy among the computed polymorphs in meV per atom: 1506

```
data_ZnH3N
_cell_length_a 3.5276
_cell_length_b 3.5276
_cell_length_c 3.5276
_cell_angle_alpha 90.00
_cell_angle_beta 90.00
_cell_angle_gamma 90.00
_symmetry_space_group_name_H-M 'P m -3 m'
_symmetry_Int_Tables_number 221
_symmetry_space_group_name_Hall '-P 4 2 3'
loop_
_atom_site_label
_atom_site_fract_x
_atom_site_fract_y
_atom_site_fract_z
Zn1 0.0000 0.0000 0.0000
H1 0.0000 0.0000 0.5000
N1 0.5000 0.5000 0.5000
```

***

[2]
DFT (PBE) results for an optimized crystal structure of Tm7SiS5.

Output
VASP energy in eV per atom: -6.042

```
data_Tm7SiS5
_cell_length_a 3.8680
_cell_length_b 12.5564
_cell_length_c 22.7680
_cell_angle_alpha 90.00
_cell_angle_beta 90.00
_cell_angle_gamma 90.00
_symmetry_space_group_name_H-M 'C m c m'
_symmetry_Int_Tables_number 63
_symmetry_space_group_name_Hall '-C 2c 2'
loop_
_atom_site_label
_atom_site_fract_x
_atom_site_fract_y
_atom_site_fract_z
Tm1 0.0000 0.0314 0.2500
Tm2 0.0000 0.1382 0.5368
Tm3 0.0000 0.3119 0.1787
Tm4 0.0000 0.4062 0.6156
Si1 0.0000 0.3056 0.7500
S1 0.0000 0.0486 0.6421
S2 0.0000 0.2253 0.0713
S3 0.0000 0.5000 0.0000
```

***

[3]
DFT (PBE) results for an optimized crystal structure of HfCr2Sn.

Output
DFT formation energy in eV/atom: 0.7482

```
data_HfCr2Sn
_cell_length_a 7.3992
_cell_length_b 7.3992
_cell_length_c 5.8268
_cell_angle_alpha 90.00
_cell_angle_beta 90.00
_cell_angle_gamma 90.00
_symmetry_space_group_name_H-M 'I -4 2 d'
_symmetry_Int_Tables_number 122
_symmetry_space_group_name_Hall 'I -4 2bw'
loop_
_atom_site_label
_atom_site_fract_x
_atom_site_fract_y
_atom_site_fract_z
Hf1 0.0000 0.0000 0.0000
Cr1 0.2499 0.2500 0.1250
Sn1 0.0000 0.0000 0.5000
```

***

[4]
DFT (PBE) results for an optimized crystal structure of Tb6CdRu5.

Output
DFT formation energy in eV/atom: -0.3179

```
data_Tb6CdRu5
_cell_length_a 4.9004
_cell_length_b 6.9593
_cell_length_c 7.7131
_cell_angle_alpha 90.00
_cell_angle_beta 108.43
_cell_angle_gamma 90.00
_symmetry_space_group_name_H-M 'P 1 2/m 1'
_symmetry_Int_Tables_number 10
loop_
_symmetry_equiv_pos_as_xyz
'x,y,z'
'-x,-y,-z'
'-x,y,-z'
'x,-y,z'
loop_
_atom_site_label
_atom_site_fract_x
_atom_site_fract_y
_atom_site_fract_z
Tb1 0.0000 0.2348 0.0000
Tb2 0.3274 0.2448 0.6549
Cd1 0.5000 0.5000 0.0000
Ru1 0.1631 0.5000 0.3264
Ru2 0.1664 0.0000 0.3327
Ru3 0.5000 0.0000 0.0000
```

***

[5]
DFT (PBE) results for an optimized crystal structure of LiTmPt2.

Output
Relative energy among the computed polymorphs in meV per atom: 51
DFT formation energy in eV/atom: -0.9668

```
data_LiTmPt2
_cell_length_a 6.5508
_cell_length_b 6.5508
_cell_length_c 6.5508
_cell_angle_alpha 90.00
_cell_angle_beta 90.00
_cell_angle_gamma 90.00
_symmetry_space_group_name_H-M 'F m -3 m'
_symmetry_Int_Tables_number 225
_symmetry_space_group_name_Hall '-F 4 2 3'
loop_
_atom_site_label
_atom_site_fract_x
_atom_site_fract_y
_atom_site_fract_z
Li1 0.0000 0.0000 0.0000
Tm1 0.0000 0.0000 0.5000
Pt1 0.2500 0.2500 0.2500
```

***

[6]
DFT (PBE) results for an optimized crystal structure of Te3Mo.

Output
VASP energy in eV per atom: -4.616

```
data_Te3Mo
_cell_length_a 4.0257
_cell_length_b 4.4162
_cell_length_c 6.8454
_cell_angle_alpha 90.00
_cell_angle_beta 90.00
_cell_angle_gamma 90.00
_symmetry_space_group_name_H-M 'P m m 2'
_symmetry_Int_Tables_number 25
loop_
_symmetry_equiv_pos_as_xyz
'x,y,z'
'-x,-y,z'
'-x,y,z'
'x,-y,z'
loop_
_atom_site_label
_atom_site_fract_x
_atom_site_fract_y
_atom_site_fract_z
Te1 0.0000 0.0000 0.0000
Te2 0.0000 0.5000 0.4657
Te3 0.5000 0.0000 0.4347
Mo1 0.5000 0.5000 0.1903
```

***

Q: Which formula does entry 2 have?
A: Tm7SiS5